The following is a GGA-PBE calculation of a relaxed La2Zn3Ni12Au crystal, from the Alexandria database.

The space group is R-3m (No. 166, hexagonal axes) and the conventional cell measures 6.1675, 6.1675 and 25.9601 Å, with angles of 90.00, 90.00 and 120.00 degrees. The distinct sites, in fractional coordinates, are La at (0.0000, 0.0000, 0.1385), Zn at (0.0000, 0.5000, 0.0000), Ni at (0.0611, 0.5306, 0.9002), Ni at (0.0790, 0.5395, 0.6227) and Au at (0.0000, 0.0000, 0.5000).

As for the volume: 15.84 Å³/atom. The value obtained for the formation energy is 1.6 eV/f.u. Its spin magnetization is 0.00 μB per formula unit. The value obtained for the calculated density is 8.01 g/cm³.


The following is a GGA-PBE calculation of a relaxed Pr2ErSe4 crystal, from the Alexandria database.

The space group is Pbam (No. 55) and the conventional cell measures 7.596, 11.907 and 4.306 Å, with angles of 90.00, 90.00 and 90.00 degrees. The distinct sites, in fractional coordinates, are Pr at (0.104, 0.187, 0.000), Er at (0.000, 0.500, 0.500), Se at (0.126, 0.719, 0.500) and Se at (0.241, 0.449, 0.000).

The value obtained for the relative energy among the computed polymorphs is 0.0 meV per atom. As for the volume: 27.82 Å³/atom. For the uncorrected formation energy, the calculation gives -1.8624 eV per atom. Its spin magnetization is 0.00 μB per formula unit. The value obtained for the calculated density is 6.52 g/cm³.


The following is a GGA-PBE calculation of a relaxed Ba4Bi2IO2 crystal, from the Alexandria database.

The space group is C2/m (No. 12) and the conventional cell measures 18.983, 4.544 and 10.650 Å, with angles of 90.00, 123.05 and 90.00 degrees. The distinct sites, in fractional coordinates, are Ba at (0.027, 0.000, 0.292), Ba at (0.232, 0.500, 0.339), Bi at (0.091, 0.500, 0.620), I at (0.000, 0.500, 0.000) and O at (0.177, 0.000, 0.377).

As for the volume: 42.77 Å³/atom. For the uncorrected formation energy, the calculation gives -1.6889 eV per atom. Its spin magnetization is 0.00 μB per formula unit. The value obtained for the calculated density is 4.86 g/cm³.


The following is a GGA-PBE calculation of a relaxed RbTl2Si2 crystal, from the Alexandria database.

The space group is I4/mmm (No. 139) and the conventional cell measures 5.187, 5.187 and 10.396 Å, with angles of 90.00, 90.00 and 90.00 degrees. The distinct sites, in fractional coordinates, are Rb at (0.000, 0.000, 0.000), Tl at (0.000, 0.500, 0.250) and Si at (0.000, 0.000, 0.386).

The value obtained for the relative energy among the computed polymorphs is 0.0 meV per atom. As for the volume: 27.98 Å³/atom. For the uncorrected formation energy, the calculation gives 0.1688 eV per atom. Its spin magnetization is 0.00 μB per formula unit. The value obtained for the calculated density is 6.53 g/cm³.


The following is a GGA-PBE calculation of a relaxed NdGdTlPt crystal, from the Alexandria database.

The space group is F-43m (No. 216) and the conventional cell measures 7.434, 7.434 and 7.434 Å, with angles of 90.00, 90.00 and 90.00 degrees. The distinct sites, in fractional coordinates, are Nd at (0.000, 0.000, 0.000), Gd at (0.000, 0.000, 0.500), Tl at (0.250, 0.250, 0.750) and Pt at (0.250, 0.250, 0.250).

As for the volume: 25.67 Å³/atom. The value obtained for the formation energy is -2.6 eV/f.u. Its spin magnetization is 7.20 μB per formula unit. The value obtained for the calculated density is 11.33 g/cm³.


The following is a GGA-PBE calculation of a relaxed NdB2Rh6 crystal, from the Alexandria database.

The space group is Fd-3m (No. 227, origin choice 2) and the conventional cell measures 10.579, 10.579 and 10.579 Å, with angles of 90.00, 90.00 and 90.00 degrees. The distinct sites, in fractional coordinates, are Nd at (0.125, 0.125, 0.125), B at (0.000, 0.000, 0.500) and Rh at (0.081, 0.375, 0.875).

As for the volume: 16.44 Å³/atom. The value obtained for the formation energy is -1.0 eV/f.u. Its spin magnetization is 1.48 μB per formula unit. The value obtained for the calculated density is 8.79 g/cm³.


The following is a GGA-PBE calculation of a relaxed Ba2C2I crystal, from the Alexandria database.

The space group is C2/c (No. 15) and the conventional cell measures 16.812, 4.761 and 7.968 Å, with angles of 90.00, 101.07 and 90.00 degrees. The distinct sites, in fractional coordinates, are Ba at (0.151, 0.194, 0.143), C at (0.231, 0.352, 0.529) and I at (0.000, 0.293, 0.750).

As for the volume: 31.29 Å³/atom. For the uncorrected formation energy, the calculation gives -0.5622 eV per atom. Its spin magnetization is 0.00 μB per formula unit. The value obtained for the calculated density is 4.52 g/cm³.


Which of these has the highest spin magnetization?
NdGdTlPt


What is the spin magnetization in the second record?
0.00 μB per formula unit


Copy entry 2 word for word.
The following is a GGA-PBE calculation of a relaxed Pr2ErSe4 crystal, from the Alexandria database.

The space group is Pbam (No. 55) and the conventional cell measures 7.596, 11.907 and 4.306 Å, with angles of 90.00, 90.00 and 90.00 degrees. The distinct sites, in fractional coordinates, are Pr at (0.104, 0.187, 0.000), Er at (0.000, 0.500, 0.500), Se at (0.126, 0.719, 0.500) and Se at (0.241, 0.449, 0.000).

The value obtained for the relative energy among the computed polymorphs is 0.0 meV per atom. As for the volume: 27.82 Å³/atom. For the uncorrected formation energy, the calculation gives -1.8624 eV per atom. Its spin magnetization is 0.00 μB per formula unit. The value obtained for the calculated density is 6.52 g/cm³.